# 1
TbTmAgPb: optimized geometry, PBE-GGA.

a = 5.261 Å, b = 5.261 Å, c = 5.261 Å
α = 60.00°, β = 60.00°, γ = 60.00°
Last column: magnetic moment on the atom in μB.
Fractional positions:
Ag  0.500  0.500  0.500  0.02
Tm  0.750  0.750  0.750  0.20
Pb  0.000  0.000  0.000  -0.01
Tb  0.250  0.250  0.250  0.20

Properties
Theoretical density (g/cm³): 10.4
Symmetry: F-43m, No. 216
Electronic total energy (eV for the cell shown): -17.17



# 2
TbTm2Ag2Pb2: optimized geometry, PBE-GGA.

a = 4.917 Å, b = 4.917 Å, c = 9.044 Å
α = 74.23°, β = 74.23°, γ = 60.00°
Fractional positions:
Pb  0.267  0.267  0.199
Pb  0.733  0.733  0.801
Tm  0.866  0.866  0.402
Tm  0.134  0.134  0.598
Ag  0.443  0.443  0.672
Ag  0.557  0.557  0.328
Tb  0.000  0.000  0.000

Properties
Theoretical density (g/cm³): 10.4
Symmetry: R-3m, No. 166
Electronic total energy (eV for the cell shown): -28.55



# 3
TbZnAgPb: optimized geometry, PBE-GGA.

a = 5.049 Å, b = 5.049 Å, c = 5.049 Å
α = 60.00°, β = 60.00°, γ = 60.00°
Fractional positions:
Tb  0.000  0.000  0.000
Pb  0.500  0.500  0.500
Zn  0.750  0.750  0.750
Ag  0.250  0.250  0.250

Properties
Theoretical density (g/cm³): 9.8
Symmetry: F-43m, No. 216
Electronic total energy (eV for the cell shown): -13.29



# 4
TbZrAgPb: optimized geometry, PBE-GGA.

a = 5.138 Å, b = 5.138 Å, c = 5.138 Å
α = 60.00°, β = 60.00°, γ = 60.00°
Fractional positions:
Tb  0.750  0.750  0.750
Zr  0.250  0.250  0.250
Ag  0.000  0.000  0.000
Pb  0.500  0.500  0.500

Properties
Theoretical density (g/cm³): 9.8
Symmetry: F-43m, No. 216
Electronic total energy (eV for the cell shown): -20.50



# 5
Tc2AgPb: optimized geometry, PBE-GGA.

a = 5.005 Å, b = 5.613 Å, c = 2.942 Å
α = 76.71°, β = 85.86°, γ = 115.27°
Fractional positions:
Tc  0.000  0.000  0.000
Tc  0.500  0.000  0.500
Pb  0.500  0.500  0.000
Ag  0.000  0.500  0.500

Properties
Theoretical density (g/cm³): 11.9
Symmetry: C2/m, No. 12
Electronic total energy (eV for the cell shown): -24.06



# 6
TcAgPb2: optimized geometry, PBE-GGA.

a = 5.785 Å, b = 5.785 Å, c = 5.785 Å
α = 137.69°, β = 137.69°, γ = 61.38°
Last column: magnetic moment on the atom in μB.
Fractional positions:
Pb  0.250  0.750  0.500  -0.01
Pb  0.000  0.000  0.000  -0.01
Ag  0.750  0.250  0.500  -0.01
Tc  0.500  0.500  0.000  1.36

Properties
Theoretical density (g/cm³): 11.9
Symmetry: I-4m2, No. 119
Electronic total energy (eV for the cell shown): -18.22



# 7
Tc2AgPb: optimized geometry, PBE-GGA.

a = 3.207 Å, b = 4.630 Å, c = 4.759 Å
α = 90.00°, β = 90.00°, γ = 90.00°
Last column: magnetic moment on the atom in μB.
Fractional positions:
Tc  0.500  0.500  0.000  -0.03
Tc  0.000  0.000  0.000  0.24
Pb  0.000  0.500  0.500  0.00
Ag  0.500  0.000  0.500  0.00

Properties
Theoretical density (g/cm³): 12.0
Symmetry: Pmmm, No. 47
Electronic total energy (eV for the cell shown): -24.17



# 8
TcAgPb2: optimized geometry, PBE-GGA.

a = 9.469 Å, b = 9.469 Å, c = 9.469 Å
α = 20.16°, β = 20.16°, γ = 20.16°
Fractional positions:
Ag  0.750  0.750  0.750
Pb  0.993  0.993  0.993
Pb  0.507  0.507  0.507
Tc  0.250  0.250  0.250

Properties
Theoretical density (g/cm³): 11.7
Symmetry: R-3m, No. 166
Electronic total energy (eV for the cell shown): -18.71



# 9
TcAgPb2: optimized geometry, PBE-GGA.

a = 4.520 Å, b = 3.559 Å, c = 5.681 Å
α = 71.73°, β = 90.00°, γ = 90.00°
Fractional positions:
Ag  0.500  0.545  0.786
Tc  0.000  0.705  0.464
Pb  0.000  0.980  0.913
Pb  0.500  0.269  0.337

Properties
Theoretical density (g/cm³): 11.9
Symmetry: Amm2, No. 38
Electronic total energy (eV for the cell shown): -18.77



# 10
TcAg2Pb: optimized geometry, PBE-GGA.

a = 5.412 Å, b = 5.412 Å, c = 2.915 Å
α = 90.00°, β = 90.00°, γ = 116.98°
Fractional positions:
Pb  0.500  0.000  0.500
Ag  0.000  0.000  0.000
Ag  0.500  0.500  0.000
Tc  0.000  0.500  0.500

Properties
Theoretical density (g/cm³): 11.4
Symmetry: Cmmm, No. 65
Electronic total energy (eV for the cell shown): -17.55



# 11
TcAgPb2: optimized geometry, PBE-GGA.

a = 3.814 Å, b = 3.817 Å, c = 5.920 Å
α = 90.00°, β = 90.00°, γ = 90.00°
Fractional positions:
Pb  0.500  0.500  0.293
Pb  0.000  0.000  0.964
Tc  0.000  0.000  0.480
Ag  0.500  0.500  0.763

Properties
Theoretical density (g/cm³): 12.0
Symmetry: P4mm, No. 99
Electronic total energy (eV for the cell shown): -18.48



# 12
TcAg2Pb: optimized geometry, PBE-GGA.

a = 4.723 Å, b = 4.723 Å, c = 4.723 Å
α = 119.88°, β = 119.88°, γ = 90.21°
Last column: magnetic moment on the atom in μB.
Fractional positions:
Tc  0.750  0.250  0.500  0.24
Ag  0.000  0.000  0.000  0.00
Ag  0.250  0.750  0.500  0.00
Pb  0.500  0.500  0.000  -0.01

Properties
Theoretical density (g/cm³): 11.6
Symmetry: I-4m2, No. 119
Electronic total energy (eV for the cell shown): -17.45



# 13
Tc2AgPb: optimized geometry, PBE-GGA.

a = 9.243 Å, b = 9.243 Å, c = 9.243 Å
α = 18.74°, β = 18.74°, γ = 18.74°
Fractional positions:
Tc  0.000  0.000  0.000
Tc  0.500  0.500  0.500
Ag  0.250  0.250  0.250
Pb  0.750  0.750  0.750

Properties
Theoretical density (g/cm³): 11.9
Symmetry: R-3m, No. 166
Electronic total energy (eV for the cell shown): -23.80



# 14
Tc2AgPb: optimized geometry, PBE-GGA.

a = 5.104 Å, b = 5.104 Å, c = 5.104 Å
α = 132.28°, β = 132.28°, γ = 69.79°
Last column: magnetic moment on the atom in μB.
Fractional positions:
Tc  0.000  0.000  0.000  1.52
Tc  0.500  0.500  0.000  1.52
Pb  0.750  0.250  0.500  -0.03
Ag  0.250  0.750  0.500  0.05

Properties
Theoretical density (g/cm³): 11.9
Symmetry: I4/mmm, No. 139
Electronic total energy (eV for the cell shown): -24.15



# 15
TcAgPb2: optimized geometry, PBE-GGA.

a = 3.222 Å, b = 3.222 Å, c = 8.815 Å
α = 90.00°, β = 90.00°, γ = 99.66°
Last column: magnetic moment on the atom in μB.
Fractional positions:
Ag  0.500  0.500  0.750  0.02
Tc  0.500  0.500  0.250  1.22
Pb  0.000  0.000  0.024  -0.02
Pb  0.000  0.000  0.476  -0.02

Properties
Theoretical density (g/cm³): 11.4
Symmetry: Cmmm, No. 65
Electronic total energy (eV for the cell shown): -18.39



# 16
TcAg2Pb: optimized geometry, PBE-GGA.

a = 3.092 Å, b = 3.092 Å, c = 8.216 Å
α = 90.00°, β = 90.00°, γ = 90.00°
Last column: magnetic moment on the atom in μB.
Fractional positions:
Pb  0.000  0.000  0.522  -0.03
Tc  0.500  0.500  0.768  1.37
Ag  0.000  0.000  0.990  0.04
Ag  0.500  0.500  0.219  -0.01

Properties
Theoretical density (g/cm³): 11.0
Symmetry: P4mm, No. 99
Electronic total energy (eV for the cell shown): -17.63



# 17
Tc2AgPb: optimized geometry, PBE-GGA.

a = 5.076 Å, b = 5.076 Å, c = 4.948 Å
α = 81.53°, β = 81.53°, γ = 37.86°
Fractional positions:
Tc  0.010  0.010  0.924
Tc  0.490  0.490  0.576
Ag  0.750  0.750  0.750
Pb  0.250  0.250  0.250

Properties
Theoretical density (g/cm³): 11.0
Symmetry: C2/m, No. 12
Electronic total energy (eV for the cell shown): -24.56



# 18
TcAg2Pb: optimized geometry, PBE-GGA.

a = 5.544 Å, b = 5.544 Å, c = 5.544 Å
α = 137.18°, β = 137.18°, γ = 62.16°
Last column: magnetic moment on the atom in μB.
Fractional positions:
Ag  0.000  0.000  0.000  0.04
Ag  0.500  0.500  0.000  0.04
Pb  0.250  0.750  0.500  -0.04
Tc  0.750  0.250  0.500  1.89

Properties
Theoretical density (g/cm³): 11.1
Symmetry: I4/mmm, No. 139
Electronic total energy (eV for the cell shown): -17.48



# 19
Tc2AgPb: optimized geometry, PBE-GGA.

a = 5.026 Å, b = 5.026 Å, c = 3.051 Å
α = 90.00°, β = 90.00°, γ = 113.46°
Last column: magnetic moment on the atom in μB.
Fractional positions:
Tc  0.000  0.000  0.000  0.45
Tc  0.500  0.500  0.000  0.45
Ag  0.500  0.000  0.500  0.01
Pb  0.000  0.500  0.500  -0.01

Properties
Theoretical density (g/cm³): 12.0
Symmetry: Cmmm, No. 65
Electronic total energy (eV for the cell shown): -23.98



# 20
TcAg4Pb: optimized geometry, PBE-GGA.

a = 5.557 Å, b = 5.557 Å, c = 5.557 Å
α = 60.00°, β = 60.00°, γ = 60.00°
Last column: magnetic moment on the atom in μB.
Fractional positions:
Ag  0.374  0.877  0.374  0.04
Ag  0.374  0.374  0.877  0.04
Ag  0.374  0.374  0.374  0.04
Ag  0.877  0.374  0.374  0.04
Pb  0.750  0.750  0.750  -0.03
Tc  0.000  0.000  0.000  3.01

Properties
Theoretical density (g/cm³): 10.1
Symmetry: F-43m, No. 216
Electronic total energy (eV for the cell shown): -22.09